# 1
GGA-PBE NaTlCdBi, optimized geometry; symmetry = F-43m; calculated total energy = -2.264 eV/atom; energy of formation from the pure elements = -0.6 eV per formula unit
1.0
7.6726 0.0000 0.0000
0.0000 7.6726 0.0000
0.0000 0.0000 7.6726
Na Tl Cd Bi
4 4 4 4
direct
0.0000 0.0000 0.0000 Na
0.0000 0.5000 0.5000 Na
0.5000 0.0000 0.5000 Na
0.5000 0.5000 0.0000 Na
0.2500 0.2500 0.7500 Tl
0.2500 0.7500 0.2500 Tl
0.7500 0.2500 0.2500 Tl
0.7500 0.7500 0.7500 Tl
0.0000 0.0000 0.5000 Cd
0.0000 0.5000 0.0000 Cd
0.5000 0.0000 0.0000 Cd
0.5000 0.5000 0.5000 Cd
0.2500 0.2500 0.2500 Bi
0.2500 0.7500 0.7500 Bi
0.7500 0.2500 0.7500 Bi
0.7500 0.7500 0.2500 Bi

# 2
GGA-PBE NaTl2Cd3Bi4, optimized geometry; symmetry = P-4m2; calculated total energy = -2.460 eV/atom; energy of formation from the pure elements = -0.3 eV per formula unit
1.0
5.0397 0.0000 0.0000
0.0000 5.0397 0.0000
0.0000 0.0000 12.8854
Na Tl Cd Bi
1 2 3 4
direct
0.0000 0.0000 0.0000 Na
0.0000 0.5000 0.7636 Tl
0.5000 0.0000 0.2364 Tl
0.0000 0.5000 0.3597 Cd
0.5000 0.0000 0.6403 Cd
0.5000 0.5000 0.0000 Cd
0.0000 0.0000 0.5000 Bi
0.0000 0.5000 0.1386 Bi
0.5000 0.0000 0.8614 Bi
0.5000 0.5000 0.5000 Bi

# 3
GGA-PBE NaTl5CdBi2, optimized geometry; symmetry = Cmc2_1; calculated total energy = -2.437 eV/atom; energy of formation from the pure elements = -0.1 eV per formula unit
1.0
2.4657 -8.9906 0.0000
2.4657 8.9906 0.0000
0.0000 0.0000 12.7793
Na Tl Cd Bi
2 10 2 4
direct
0.0277 0.9723 0.5000 Na
0.9723 0.0277 0.0000 Na
0.0112 0.9888 0.7600 Tl
0.1818 0.8182 0.1894 Tl
0.2062 0.7938 0.7787 Tl
0.2300 0.7700 0.4969 Tl
0.4336 0.5664 0.6227 Tl
0.5664 0.4336 0.1227 Tl
0.7700 0.2300 0.9969 Tl
0.7938 0.2062 0.2787 Tl
0.8182 0.1818 0.6894 Tl
0.9888 0.0112 0.2600 Tl
0.3765 0.6235 0.1269 Cd
0.6235 0.3765 0.6269 Cd
0.3770 0.6230 0.8778 Bi
0.3947 0.6053 0.3791 Bi
0.6053 0.3947 0.8791 Bi
0.6230 0.3770 0.3778 Bi

# 4
GGA-PBE NaTmCdBi, optimized geometry; symmetry = F-43m; calculated total energy = -2.904 eV/atom; energy of formation from the pure elements = -1.0 eV per formula unit
1.0
7.5848 0.0000 0.0000
0.0000 7.5848 0.0000
0.0000 0.0000 7.5848
Na Tm Cd Bi
4 4 4 4
direct
0.0000 0.0000 0.0000 Na
0.0000 0.5000 0.5000 Na
0.5000 0.0000 0.5000 Na
0.5000 0.5000 0.0000 Na
0.0000 0.0000 0.5000 Tm
0.0000 0.5000 0.0000 Tm
0.5000 0.0000 0.0000 Tm
0.5000 0.5000 0.5000 Tm
0.2500 0.2500 0.7500 Cd
0.2500 0.7500 0.2500 Cd
0.7500 0.2500 0.2500 Cd
0.7500 0.7500 0.7500 Cd
0.2500 0.2500 0.2500 Bi
0.2500 0.7500 0.7500 Bi
0.7500 0.2500 0.7500 Bi
0.7500 0.7500 0.2500 Bi

# 5
GGA-PBE NaYCdBi, optimized geometry; symmetry = F-43m; calculated total energy = -3.451 eV/atom; energy of formation from the pure elements = -1.2 eV per formula unit
1.0
7.6274 0.0000 0.0000
0.0000 7.6274 0.0000
0.0000 0.0000 7.6274
Na Y Cd Bi
4 4 4 4
direct
0.0000 0.0000 0.0000 Na
0.0000 0.5000 0.5000 Na
0.5000 0.0000 0.5000 Na
0.5000 0.5000 0.0000 Na
0.0000 0.0000 0.5000 Y
0.0000 0.5000 0.0000 Y
0.5000 0.0000 0.0000 Y
0.5000 0.5000 0.5000 Y
0.2500 0.2500 0.7500 Cd
0.2500 0.7500 0.2500 Cd
0.7500 0.2500 0.2500 Cd
0.7500 0.7500 0.7500 Cd
0.2500 0.2500 0.2500 Bi
0.2500 0.7500 0.7500 Bi
0.7500 0.2500 0.7500 Bi
0.7500 0.7500 0.2500 Bi

# 6
GGA-PBE Na3Zn2Cd2Bi4, optimized geometry; symmetry = P-3m1; calculated total energy = -2.294 eV/atom; energy of formation from the pure elements = -1.4 eV per formula unit
1.0
4.7956 0.0000 0.0000
-2.3978 4.1531 0.0000
0.0000 0.0000 16.2299
Na Zn Cd Bi
3 2 2 4
direct
0.0000 0.0000 0.0000 Na
0.0000 0.0000 0.2777 Na
0.0000 0.0000 0.7223 Na
0.3333 0.6667 0.5724 Zn
0.6667 0.3333 0.4276 Zn
0.3333 0.6667 0.1842 Cd
0.6667 0.3333 0.8158 Cd
0.3333 0.6667 0.3894 Bi
0.3333 0.6667 0.8748 Bi
0.6667 0.3333 0.1252 Bi
0.6667 0.3333 0.6106 Bi

# 7
GGA-PBE NbCdBi3, optimized geometry; symmetry = Pm-3m; calculated total energy = -4.118 eV/atom; energy of formation from the pure elements = 2.0 eV per formula unit
1.0
5.5286 0.0000 0.0000
0.0000 5.5286 0.0000
0.0000 0.0000 5.5286
Nb Cd Bi
1 1 3
direct
0.0000 0.0000 0.0000 Nb
0.5000 0.5000 0.5000 Cd
0.0000 0.0000 0.5000 Bi
0.0000 0.5000 0.0000 Bi
0.5000 0.0000 0.0000 Bi

# 8
GGA-PBE NbCdBi3, optimized geometry; symmetry = Pm-3m; calculated total energy = -3.305 eV/atom; energy of formation from the pure elements = 6.1 eV per formula unit
1.0
5.5661 0.0000 0.0000
0.0000 5.5661 0.0000
0.0000 0.0000 5.5661
Nb Cd Bi
1 1 3
direct
0.0000 0.0000 0.0000 Nb
0.5000 0.5000 0.5000 Cd
0.0000 0.5000 0.5000 Bi
0.5000 0.0000 0.5000 Bi
0.5000 0.5000 0.0000 Bi

calculated total energy of number 7 (NbCdBi3)?
-4.118 eV/atom